w) PmSm3Hg | PBE | relaxed

a b c (Å): 11.487 7.572 8.060
angles (deg): 90.00 110.83 90.00
Space group C2/m (No. 12)
Symmetry-distinct sites (fractional):
1 Pm 0.060 0.000 0.240 [4 per cell]
2 Sm 0.061 0.500 0.242 [4 per cell]
3 Sm 0.161 0.250 0.645 [8 per cell]
4 Hg 0.248 0.500 0.000 [4 per cell]

Properties
- crystal system = monoclinic

---

x) PmSm3Hg | PBE | relaxed

a b c (Å): 22.241 3.617 8.241
angles (deg): 90.00 105.50 90.00
Space group C2/m (No. 12)
Symmetry-distinct sites (fractional):
1 Pm 0.240 0.000 0.323 [4 per cell]
2 Sm 0.014 0.500 0.743 [4 per cell]
3 Sm 0.115 0.000 0.535 [4 per cell]
4 Sm 0.173 0.500 0.953 [4 per cell]
5 Hg 0.082 0.000 0.111 [4 per cell]

Properties
- crystal system = monoclinic

---

The most stable arrangement is w), and the next structure is 0.8 kJ/mol of atoms less stable.

---

w) Pm2Sm3Hg2 | PBE | relaxed

a b c (Å): 3.680 32.229 3.644
angles (deg): 90.00 90.00 90.00
Space group Cmmm (No. 65)
Symmetry-distinct sites (fractional):
1 Pm 0.000 0.202 0.000 [4 per cell]
2 Sm 0.000 0.078 0.000 [4 per cell]
3 Sm 0.000 0.500 0.500 [2 per cell]
4 Hg 0.000 0.360 0.500 [4 per cell]

Properties
- crystal system = orthorhombic

---

x) Pm2Sm3Hg2 | PBE | relaxed

a b c (Å): 13.421 3.824 9.483
angles (deg): 90.00 115.08 90.00
Space group C2/m (No. 12)
Symmetry-distinct sites (fractional):
1 Pm 0.144 0.000 0.310 [4 per cell]
2 Sm 0.000 0.500 0.500 [2 per cell]
3 Sm 0.109 0.500 0.945 [4 per cell]
4 Hg 0.176 0.000 0.726 [4 per cell]

Properties
- crystal system = monoclinic

---

The most stable arrangement is x), and the next structure is 3.9 kJ/mol of atoms less stable.

---

w) Pm2Sm2Hg | PBE | relaxed

a b c (Å): 8.519 9.549 8.512
angles (deg): 90.00 114.92 90.00
Space group C2/m (No. 12)
Symmetry-distinct sites (fractional):
1 Pm 0.079 0.187 0.220 [8 per cell]
2 Sm 0.157 0.500 0.926 [4 per cell]
3 Sm 0.220 0.000 0.615 [4 per cell]
4 Hg 0.000 0.338 0.500 [4 per cell]

Properties
- crystal system = monoclinic

---

x) Pm2Sm2Hg | PBE | relaxed

a b c (Å): 3.688 3.688 23.173
angles (deg): 90.00 90.00 90.00
Space group I4/mmm (No. 139)
Symmetry-distinct sites (fractional):
1 Pm 0.000 0.000 0.195 [4 per cell]
2 Sm 0.000 0.000 0.414 [4 per cell]
3 Hg 0.000 0.000 0.000 [2 per cell]

Properties
- crystal system = tetragonal

---

The most stable arrangement is x), and the next structure is 8.8 kJ/mol of atoms less stable.

---

w) TbPmSmHg | PBE | relaxed

a b c (Å): 7.749 7.749 7.749
angles (deg): 90.00 90.00 90.00
Space group F-43m (No. 216)
Symmetry-distinct sites (fractional):
1 Tb 0.000 0.000 0.000 [4 per cell]
2 Pm 0.250 0.250 0.250 [4 per cell]
3 Sm 0.000 0.000 0.500 [4 per cell]
4 Hg 0.250 0.250 0.750 [4 per cell]

Properties
- crystal system = cubic

---

x) TbPmSmHg | PBE | relaxed

a b c (Å): 3.679 3.679 8.929
angles (deg): 90.00 90.00 90.00
Space group P4mm (No. 99)
Symmetry-distinct sites (fractional):
1 Tb 0.000 0.000 0.000 [1 per cell]
2 Pm 0.500 0.500 0.722 [1 per cell]
3 Sm 0.000 0.000 0.439 [1 per cell]
4 Hg 0.500 0.500 0.211 [1 per cell]

Properties
- crystal system = tetragonal

---

The most stable arrangement is x), and the next structure is 18.1 kJ/mol of atoms less stable.

---

w) Pm3SnHg2 | PBE | relaxed

a b c (Å): 5.421 16.451 3.776
angles (deg): 90.00 90.00 90.00
Space group Cmmm (No. 65)
Symmetry-distinct sites (fractional):
1 Pm 0.000 0.000 0.000 [2 per cell]
2 Pm 0.000 0.335 0.000 [4 per cell]
3 Sn 0.000 0.500 0.500 [2 per cell]
4 Hg 0.000 0.175 0.500 [4 per cell]

Properties
- crystal system = orthorhombic

---

x) Pm3SnHg2 | PBE | relaxed

a b c (Å): 3.757 3.757 11.871
angles (deg): 90.00 90.00 90.00
Space group P4/mmm (No. 123)
Symmetry-distinct sites (fractional):
1 Pm 0.000 0.000 0.000 [1 per cell]
2 Pm 0.000 0.000 0.329 [2 per cell]
3 Sn 0.500 0.500 0.500 [1 per cell]
4 Hg 0.500 0.500 0.158 [2 per cell]

Properties
- crystal system = tetragonal

---

The most stable arrangement is w), and the next structure is 1.6 kJ/mol of atoms less stable.

---

w) Pm3Sn3Hg | PBE | relaxed

a b c (Å): 11.775 4.624 15.302
angles (deg): 90.00 107.72 90.00
Space group C2/m (No. 12)
Symmetry-distinct sites (fractional):
1 Pm 0.014 0.000 0.375 [4 per cell]
2 Pm 0.106 0.000 0.924 [4 per cell]
3 Pm 0.228 0.000 0.227 [4 per cell]
4 Sn 0.003 0.500 0.778 [4 per cell]
5 Sn 0.119 0.500 0.075 [4 per cell]
6 Sn 0.134 0.500 0.543 [4 per cell]
7 Hg 0.223 0.500 0.376 [4 per cell]

Properties
- crystal system = monoclinic

---

x) Pm3Sn3Hg | PBE | relaxed

a b c (Å): 9.3358 9.3358 6.2973
angles (deg): 90.00 90.00 120.00
Space group P6_3/m (No. 176)
Symmetry-distinct sites (fractional):
1 Pm 0.0494 0.3715 0.2500 [6 per cell]
2 Sn 0.0429 0.3392 0.7500 [6 per cell]
3 Hg 0.3333 0.6667 0.7500 [2 per cell]

Properties
- crystal system = hexagonal

---

The most stable arrangement is w), and the next structure is 24.5 kJ/mol of atoms less stable.

---

w) Pm6SnHg5 | PBE | relaxed

a b c (Å): 6.984 11.674 9.192
angles (deg): 90.00 103.47 90.00
Space group C2/m (No. 12)
Symmetry-distinct sites (fractional):
1 Pm 0.217 0.000 0.219 [4 per cell]
2 Pm 0.239 0.169 0.733 [8 per cell]
3 Sn 0.000 0.500 0.000 [2 per cell]
4 Hg 0.000 0.000 0.500 [2 per cell]
5 Hg 0.000 0.201 0.000 [4 per cell]
6 Hg 0.000 0.366 0.500 [4 per cell]

Properties
- crystal system = monoclinic

---

x) Pm6SnHg5 | PBE | relaxed

a b c (Å): 5.389 7.647 8.560
angles (deg): 90.00 108.45 90.00
Space group P2/m (No. 10)
Symmetry-distinct sites (fractional):
1 Pm 0.000 0.248 0.000 [2 per cell]
2 Pm 0.335 0.252 0.668 [4 per cell]
3 Sn 0.500 0.000 0.000 [1 per cell]
4 Hg 0.165 0.500 0.333 [2 per cell]
5 Hg 0.171 0.000 0.346 [2 per cell]
6 Hg 0.500 0.500 0.000 [1 per cell]

Properties
- crystal system = monoclinic

---

The most stable arrangement is x), and the next structure is 13.9 kJ/mol of atoms less stable.

---

w) Pm2SnHg2 | PBE | relaxed

a b c (Å): 10.275 4.578 6.314
angles (deg): 90.00 93.38 90.00
Space group C2/m (No. 12)
Symmetry-distinct sites (fractional):
1 Pm 0.196 0.000 0.215 [4 per cell]
2 Sn 0.000 0.500 0.000 [2 per cell]
3 Hg 0.103 0.000 0.684 [4 per cell]

Properties
- crystal system = monoclinic

---

x) Pm2SnHg2 | PBE | relaxed

a b c (Å): 11.586 4.652 11.329
angles (deg): 90.00 115.09 90.00
Space group C2/m (No. 12)
Symmetry-distinct sites (fractional):
1 Pm 0.007 0.000 0.330 [4 per cell]
2 Pm 0.180 0.000 0.098 [4 per cell]
3 Sn 0.215 0.500 0.315 [4 per cell]
4 Hg 0.047 0.500 0.891 [4 per cell]
5 Hg 0.141 0.500 0.547 [4 per cell]

Properties
- crystal system = monoclinic

---

The most stable arrangement is x), and the next structure is 5.8 kJ/mol of atoms less stable.

---

w) PmSnHg4 | PBE | relaxed

a b c (Å): 4.613 4.613 8.411
angles (deg): 90.00 90.00 90.00
Space group P4/mmm (No. 123)
Symmetry-distinct sites (fractional):
1 Pm 0.000 0.000 0.000 [1 per cell]
2 Sn 0.500 0.500 0.500 [1 per cell]
3 Hg 0.000 0.500 0.262 [4 per cell]

Properties
- crystal system = tetragonal

---

x) PmSnHg4 | PBE | relaxed

a b c (Å): 4.608 14.070 4.662
angles (deg): 90.00 90.00 90.00
Space group Cmmm (No. 65)
Symmetry-distinct sites (fractional):
1 Pm 0.000 0.000 0.000 [2 per cell]
2 Sn 0.000 0.500 0.500 [2 per cell]
3 Hg 0.000 0.167 0.500 [4 per cell]
4 Hg 0.000 0.329 0.000 [4 per cell]

Properties
- crystal system = orthorhombic

---

The most stable arrangement is x), and the next structure is 20.3 kJ/mol of atoms less stable.

---

w) PmSnHg | PBE | relaxed

a b c (Å): 4.666 7.442 9.190
angles (deg): 90.00 90.00 90.00
Space group Imm2 (No. 44)
Symmetry-distinct sites (fractional):
1 Pm 0.000 0.000 0.000 [2 per cell]
2 Pm 0.000 0.500 0.111 [2 per cell]
3 Sn 0.000 0.211 0.395 [4 per cell]
4 Hg 0.000 0.300 0.711 [4 per cell]

Properties
- crystal system = orthorhombic

---

x) PmSnHg | PBE | relaxed

a b c (Å): 3.757 3.757 11.531
angles (deg): 90.00 90.00 90.00
Space group I4mm (No. 107)
Symmetry-distinct sites (fractional):
1 Pm 0.000 0.000 0.000 [2 per cell]
2 Sn 0.000 0.000 0.315 [2 per cell]
3 Hg 0.000 0.000 0.664 [2 per cell]

Properties
- crystal system = tetragonal

---

y) PmSnHg | PBE | relaxed

a b c (Å): 4.7997 4.7997 4.0909
angles (deg): 90.00 90.00 120.00
Space group P3m1 (No. 156)
Symmetry-distinct sites (fractional):
1 Pm 0.0000 0.0000 0.0000 [1 per cell]
2 Sn 0.3333 0.6667 0.4241 [1 per cell]
3 Hg 0.6667 0.3333 0.6373 [1 per cell]

Properties
- crystal system = trigonal

---

The most stable arrangement is y), and the next structure is 2.3 kJ/mol of atoms less stable.

---

w) PmSnHg | PBE | relaxed

a b c (Å): 4.880 6.406 6.578
angles (deg): 61.51 89.84 67.61
Space group P-1 (No. 2)
Symmetry-distinct sites (fractional):
1 Pm 0.187 0.127 0.229 [2 per cell]
2 Sn 0.496 0.509 0.229 [2 per cell]
3 Hg 0.142 0.217 0.705 [2 per cell]

Properties
- crystal system = triclinic

---

x) PmSnHg | PBE | relaxed

a b c (Å): 7.051 7.051 7.051
angles (deg): 90.00 90.00 90.00
Space group F-43m (No. 216)
Symmetry-distinct sites (fractional):
1 Pm 0.000 0.000 0.000 [4 per cell]
2 Sn 0.000 0.000 0.500 [4 per cell]
3 Hg 0.250 0.250 0.250 [4 per cell]

Properties
- crystal system = cubic

---

The most stable arrangement is w), and the next structure is 10.4 kJ/mol of atoms less stable.

---

w) PmSnHg3 | PBE | relaxed

a b c (Å): 4.827 9.869 6.657
angles (deg): 90.00 90.00 90.00
Space group Pmmn (No. 59, origin choice 2)
Symmetry-distinct sites (fractional):
1 Pm 0.250 0.250 0.130 [2 per cell]
2 Sn 0.250 0.250 0.649 [2 per cell]
3 Hg 0.250 0.518 0.847 [4 per cell]
4 Hg 0.250 0.750 0.559 [2 per cell]

Properties
- crystal system = orthorhombic

---

x) PmSnHg3 | PBE | relaxed

a b c (Å): 3.469 29.252 5.101
angles (deg): 90.00 90.00 90.00
Space group Cmcm (No. 63)
Symmetry-distinct sites (fractional):
1 Pm 0.000 0.073 0.250 [4 per cell]
2 Sn 0.000 0.221 0.750 [4 per cell]
3 Hg 0.000 0.326 0.750 [4 per cell]
4 Hg 0.000 0.376 0.250 [4 per cell]
5 Hg 0.000 0.476 0.250 [4 per cell]

Properties
- crystal system = orthorhombic

---

The most stable arrangement is x), and the next structure is 7.0 kJ/mol of atoms less stable.